Record 1
! PBE-GGA Pb5Au4, relaxed; values from VASP
&SYSTEM
  ibrav = 0, nat = 9, ntyp = 2
/
ATOMIC_SPECIES
Pb 207.20 Pb.upf
Au 196.97 Au.upf
ATOMIC_POSITIONS crystal
Pb 0.0000 0.0000 0.0000
Pb 0.3224 0.6776 0.0000
Pb 0.6776 0.3224 0.0000
Pb 0.6776 0.6776 0.3553
Pb 0.3224 0.3224 0.6447
Au 0.3461 0.0000 0.3461
Au 0.6539 0.0000 0.6539
Au 0.0000 0.6539 0.6539
Au 0.0000 0.3461 0.3461
CELL_PARAMETERS angstrom
-4.6447 4.6447 2.6280
4.6447 -4.6447 2.6280
4.6447 4.6447 -2.6280
! Magnetization ... 0.00 Bohr magnetons per cell
! Formation energy from the elements ... 0.073 eV per atom
! Total energy ... -31.00 eV/f.u.
! ΔE to the lowest computed polymorph ... 0.136 eV/atom
! DOS(E_F) ... 5.01 states/eV per cell

---

Record 2
! PBE-GGA PbAu4, relaxed; values from VASP
&SYSTEM
  ibrav = 0, nat = 20, ntyp = 2
/
ATOMIC_SPECIES
Au 196.97 Au.upf
Pb 207.20 Pb.upf
ATOMIC_POSITIONS crystal
Au 0.7812 0.7812 0.7812
Au 0.2188 0.0000 0.0000
Au 0.0000 0.2188 0.0000
Au 0.0000 0.0000 0.2188
Au 0.6492 0.6492 0.0000
Au 0.3508 0.3508 0.0000
Au 0.6492 0.0000 0.6492
Au 0.3508 0.0000 0.3508
Au 0.0000 0.6492 0.6492
Au 0.0000 0.3508 0.3508
Au 0.2500 0.7500 0.5000
Au 0.7500 0.2500 0.5000
Au 0.7500 0.5000 0.2500
Au 0.2500 0.5000 0.7500
Au 0.5000 0.2500 0.7500
Au 0.5000 0.7500 0.2500
Pb 0.4246 0.4246 0.4246
Pb 0.5754 0.0000 0.0000
Pb 0.0000 0.5754 0.0000
Pb 0.0000 0.0000 0.5754
CELL_PARAMETERS angstrom
-5.9972 0.4263 5.7880
-3.4618 -0.0632 -7.5935
4.4316 -6.9865 1.0952
! Magnetization ... 0.00 Bohr magnetons per cell
! Formation energy from the elements ... 0.049 eV per atom
! Total energy ... -16.57 eV/f.u.
! DOS(E_F) ... 5.96 states/eV per cell

---

Question: Among the records above, which one has the highest DOS(E_F)?
Answer: PbAu4

---

Question: What is the formation energy from the elements in the second record?
Answer: 0.049 eV per atom